Computed, not measured: a geometry-optimized As2PtPb2 structure at the PBEsol level of DFT.

a b c (Å): 5.4903 5.4903 5.4903
angles (deg): 94.56 117.40 117.40
Fractional positions:
As  0.0000  0.3287  0.3287
As  0.0000  0.6713  0.6713
Pb  0.5000  0.7500  0.2500
Pb  0.5000  0.2500  0.7500
Pt  0.0000  0.0000  0.0000

Results
* energy of formation: 0.24 eV per atom
* calculated volume: 121.2 Å³/cell
* density: 10.40 Mg/m³

---

Computed, not measured: a geometry-optimized Re2TeRh structure at the PBEsol level of DFT.

a b c (Å): 3.0691 4.4981 4.4981
angles (deg): 90.00 90.00 90.00
Fractional positions:
Te  0.5000  0.0000  0.0000
Rh  0.5000  0.5000  0.5000
Re  0.0000  0.0000  0.5000
Re  0.0000  0.5000  0.0000

Results
* calculated volume: 62.1 Å³/cell
* ΔE_f (raw): 0.574 eV per atom
* density: 16.12 Mg/m³

---

- Which of these has the highest density?
  Re2TeRh